Record 1
Below is a relaxed structure of TbAg2Pd, with properties calculated at the PBE-GGA level.

Cell lengths 6.8342, 6.8342, 6.8342 Å; angles 90.00, 90.00, 90.00 degrees
Closest atoms and distances in Å follow each position.
Fractional positions:
Tb1 0.0000 0.0000 0.0000  8 Ag 2.96
Tb2 0.0000 0.5000 0.5000  8 Ag 2.96
Tb3 0.5000 0.0000 0.5000  8 Ag 2.96
Tb4 0.5000 0.5000 0.0000  8 Ag 2.96
Ag1 0.2500 0.2500 0.2500  4 Tb 2.96, 4 Pd 2.96
Ag2 0.2500 0.2500 0.7500  4 Tb 2.96, 4 Pd 2.96
Ag3 0.2500 0.7500 0.2500  4 Tb 2.96, 4 Pd 2.96
Ag4 0.2500 0.7500 0.7500  4 Tb 2.96, 4 Pd 2.96
Ag5 0.7500 0.2500 0.2500  4 Tb 2.96, 4 Pd 2.96
Ag6 0.7500 0.2500 0.7500  4 Tb 2.96, 4 Pd 2.96
Ag7 0.7500 0.7500 0.2500  4 Tb 2.96, 4 Pd 2.96
Ag8 0.7500 0.7500 0.7500  4 Tb 2.96, 4 Pd 2.96
Pd1 0.0000 0.0000 0.5000  8 Ag 2.96
Pd2 0.0000 0.5000 0.0000  8 Ag 2.96
Pd3 0.5000 0.0000 0.0000  8 Ag 2.96
Pd4 0.5000 0.5000 0.5000  8 Ag 2.96

Output
Calculated formation energy   -0.3275 eV/atom
ΔE to the lowest computed polymorph   0.148 eV/atom

Record 2
Below is a relaxed structure of Tb3AgPd, with properties calculated at the PBE-GGA level.

Cell lengths 5.9916, 5.9916, 8.8428 Å; angles 112.70, 112.70, 67.20 degrees
Closest atoms and distances in Å follow each position.
Fractional positions:
Tb1 0.0322 0.0322 0.2481  2 Pd 2.80, 2 Ag 3.07
Tb2 0.2894 0.2894 0.6796  2 Pd 2.99, 2 Ag 3.21
Tb3 0.3123 0.3123 0.1293  2 Pd 2.97, 2 Ag 3.24
Tb4 0.6877 0.6877 0.8707  2 Pd 2.97, 2 Ag 3.24
Tb5 0.7106 0.7106 0.3204  2 Pd 2.99, 2 Ag 3.21
Tb6 0.9678 0.9678 0.7519  2 Pd 2.80, 2 Ag 3.07
Ag1 0.2902 0.7098 0.5000  1 Ag 2.78, 2 Tb 3.07
Ag2 0.7098 0.2902 0.5000  1 Ag 2.78, 2 Tb 3.07
Pd1 0.2855 0.7145 0.0000  6 Tb 2.80-2.99, 1 Pd 2.85
Pd2 0.7145 0.2855 0.0000  6 Tb 2.80-2.99, 1 Pd 2.85

Output
Calculated formation energy   -0.4057 eV/atom
ΔE to the lowest computed polymorph   0.000 eV/atom

Record 3
Below is a relaxed structure of TbAg2Pd, with properties calculated at the PBE-GGA level.

Cell lengths 5.7862, 9.2741, 4.0221 Å; angles 90.00, 133.91, 90.00 degrees
Closest atoms and distances in Å follow each position.
Fractional positions:
Tb1 0.0000 0.0000 0.0000  4 Pd 2.89-2.90, 8 Ag 3.09-3.10
Tb2 0.5000 0.5000 0.0000  4 Pd 2.89-2.90, 8 Ag 3.09-3.10
Ag1 0.0000 0.2525 0.5000  4 Ag 2.89-2.90, 4 Pd 3.05-3.13, 4 Tb 3.09-3.10
Ag2 0.0000 0.7475 0.5000  4 Ag 2.89-2.90, 4 Pd 3.05-3.13, 4 Tb 3.09-3.10
Ag3 0.5000 0.2475 0.5000  4 Ag 2.89-2.90, 4 Pd 3.05-3.13, 4 Tb 3.09-3.10
Ag4 0.5000 0.7525 0.5000  4 Ag 2.89-2.90, 4 Pd 3.05-3.13, 4 Tb 3.09-3.10
Pd1 0.0000 0.5000 0.0000  4 Tb 2.89-2.90, 8 Ag 3.05-3.13
Pd2 0.5000 0.0000 0.0000  4 Tb 2.89-2.90, 8 Ag 3.05-3.13

Output
Calculated formation energy   -0.4753 eV/atom
ΔE to the lowest computed polymorph   0.000 eV/atom

Record 4
Below is a relaxed structure of Tb2AgPd8, with properties calculated at the PBE-GGA level.

Cell lengths 7.6035, 7.6035, 6.5611 Å; angles 107.00, 107.00, 32.40 degrees
Closest atoms and distances in Å follow each position.
Fractional positions:
Tb1 0.2156 0.2156 0.1665  9 Pd 2.77-3.04
Tb2 0.7844 0.7844 0.8335  9 Pd 2.77-3.04
Ag1 0.5000 0.5000 0.5000  12 Pd 2.76-2.95
Pd1 0.0350 0.0350 0.2233  1 Tb 2.77, 9 Pd 2.79-3.07, 2 Ag 2.94
Pd2 0.1421 0.1421 0.6799  7 Pd 2.84-2.98, 3 Tb 2.93-3.04, 2 Ag 2.95
Pd3 0.3297 0.3297 0.6004  1 Ag 2.76, 3 Tb 2.81-2.83, 6 Pd 2.86-2.94
Pd4 0.4089 0.4089 0.0557  8 Pd 2.81-3.07, 1 Ag 2.81, 3 Tb 2.88-3.12
Pd5 0.5911 0.5911 0.9443  8 Pd 2.81-3.07, 1 Ag 2.81, 3 Tb 2.88-3.12
Pd6 0.6703 0.6703 0.3996  1 Ag 2.76, 3 Tb 2.81-2.83, 6 Pd 2.86-2.94
Pd7 0.8579 0.8579 0.3201  7 Pd 2.84-2.98, 3 Tb 2.93-3.04, 2 Ag 2.95
Pd8 0.9650 0.9650 0.7767  1 Tb 2.77, 9 Pd 2.79-3.07, 2 Ag 2.94

Output
Calculated formation energy   -0.5046 eV/atom

Record 5
Below is a relaxed structure of Tb2Ag3Pd, with properties calculated at the PBE-GGA level.

Cell lengths 3.4360, 4.7739, 8.0747 Å; angles 90.00, 90.00, 90.00 degrees
Closest atoms and distances in Å follow each position.
Fractional positions:
Tb1 0.0000 0.0000 0.0000  2 Pd 3.00, 10 Ag 3.15-3.36
Tb2 0.0000 0.5000 0.4558  8 Ag 3.08-3.31, 4 Pd 3.18, 2 Tb 3.44
Ag1 0.5000 0.0000 0.6430  2 Ag 2.71, 1 Pd 2.73
Ag2 0.5000 0.5000 0.1390  1 Ag 2.72, 2 Pd 2.74
Ag3 0.5000 0.5000 0.8025  3 Ag 2.71-2.72
Pd1 0.5000 0.0000 0.3053  3 Ag 2.73-2.74, 2 Tb 3.00

Output
Calculated formation energy   -0.3873 eV/atom

Record 6
Below is a relaxed structure of Tb6Ag5Pd, with properties calculated at the PBE-GGA level.

Cell lengths 8.1343, 8.1343, 7.2517 Å; angles 90.00, 90.00, 143.22 degrees
Closest atoms and distances in Å follow each position.
Fractional positions:
Tb1 0.0000 0.0000 0.2425  2 Pd 3.11, 6 Ag 3.17-3.19
Tb2 0.0000 0.0000 0.7575  2 Pd 3.11, 6 Ag 3.17-3.19
Tb3 0.3375 0.6625 0.2470  1 Pd 3.08, 7 Ag 3.11-3.20
Tb4 0.3375 0.6625 0.7530  1 Pd 3.08, 7 Ag 3.11-3.20
Tb5 0.6625 0.3375 0.2470  1 Pd 3.08, 7 Ag 3.11-3.20
Tb6 0.6625 0.3375 0.7530  1 Pd 3.08, 7 Ag 3.11-3.20
Ag1 0.1678 0.8322 0.5000  8 Tb 3.16-3.20
Ag2 0.1722 0.8278 0.0000  8 Tb 3.12-3.19
Ag3 0.5000 0.5000 0.5000  8 Tb 3.11-3.17
Ag4 0.8278 0.1722 0.0000  8 Tb 3.12-3.19
Ag5 0.8322 0.1678 0.5000  8 Tb 3.16-3.20
Pd1 0.5000 0.5000 0.0000  8 Tb 3.08-3.11

Output
Calculated formation energy   -0.4070 eV/atom

Record 7
Below is a relaxed structure of TbAgPd, with properties calculated at the PBE-GGA level.

Cell lengths 3.6825, 3.6825, 9.1724 Å; angles 90.00, 90.00, 90.00 degrees
Closest atoms and distances in Å follow each position.
Fractional positions:
Tb1 0.0000 0.0000 0.0000  5 Ag 2.96-3.07, 5 Pd 2.97-3.15
Tb2 0.5000 0.5000 0.5000  5 Ag 2.96-3.07, 5 Pd 2.97-3.15
Ag1 0.0000 0.0000 0.6775  5 Tb 2.96-3.07, 5 Pd 3.02-3.06
Ag2 0.5000 0.5000 0.1775  5 Tb 2.96-3.07, 5 Pd 3.02-3.06
Pd1 0.0000 0.0000 0.3439  5 Tb 2.97-3.15, 5 Ag 3.02-3.06
Pd2 0.5000 0.5000 0.8439  5 Tb 2.97-3.15, 5 Ag 3.02-3.06

Output
Calculated formation energy   -0.5723 eV/atom
ΔE to the lowest computed polymorph   0.012 eV/atom

Record 8
Below is a relaxed structure of Tb2Ag3Pd2, with properties calculated at the PBE-GGA level.

Cell lengths 9.9635, 4.1413, 7.0771 Å; angles 90.00, 95.33, 90.00 degrees
Closest atoms and distances in Å follow each position.
Fractional positions:
Tb1 0.1162 0.0000 0.3300  5 Pd 2.83-3.04
Tb2 0.3838 0.5000 0.6700  5 Pd 2.83-3.04
Tb3 0.6162 0.5000 0.3300  5 Pd 2.83-3.04
Tb4 0.8838 0.0000 0.6700  5 Pd 2.83-3.04
Ag1 0.0000 0.5000 0.0000  2 Pd 2.80, 6 Ag 3.00-3.09
Ag2 0.1934 0.0000 0.8826  2 Pd 2.79, 5 Ag 2.82-3.09
Ag3 0.3066 0.5000 0.1174  2 Pd 2.79, 5 Ag 2.82-3.09
Ag4 0.5000 0.0000 0.0000  2 Pd 2.80, 6 Ag 3.00-3.09
Ag5 0.6934 0.5000 0.8826  2 Pd 2.79, 5 Ag 2.82-3.09
Ag6 0.8066 0.0000 0.1174  2 Pd 2.79, 5 Ag 2.82-3.09
Pd1 0.0983 0.5000 0.6417  1 Pd 2.67, 3 Ag 2.79-2.80, 1 Tb 2.83
Pd2 0.4017 0.0000 0.3583  1 Pd 2.67, 3 Ag 2.79-2.80, 1 Tb 2.83
Pd3 0.5983 0.0000 0.6417  1 Pd 2.67, 3 Ag 2.79-2.80, 1 Tb 2.83
Pd4 0.9017 0.5000 0.3583  1 Pd 2.67, 3 Ag 2.79-2.80, 1 Tb 2.83

Output
Calculated formation energy   -0.5154 eV/atom